Below is an optimized crystal structure of VTe2N, with properties calculated at the PBE level.

POSCAR file:
```
VTe2N
1.0
-3.9718 -2.0333 3.5477
3.8684 -0.2657 4.1785
-1.4309 4.3869 5.4921
V Te N
2 4 2
Cartesian
-2.7272 0.6021 6.4515
0.0000 0.0000 0.0000
-0.9032 2.4137 7.2418
-2.1422 -0.0976 3.9213
1.3493 0.5668 4.6195
-1.3723 1.2929 10.6541
-0.0517 -1.1495 3.8631
1.1929 1.4859 6.7669
```

crystal system: tetragonal
SG: I-42d, No. 122
formation energy from raw total energies: 0.83 eV per atom

Below is an optimized crystal structure of SiSb2RhSe, with properties calculated at the PBE level.

POSCAR file:
```
SiSb2RhSe
1.0
5.2265 0.0000 0.0000
0.0000 4.4906 0.0000
0.0000 0.0000 5.2265
Sb Rh Se Si
2 1 1 1
Cartesian
0.0000 0.0000 2.6133
2.6133 0.0000 0.0000
0.0000 2.2453 0.0000
2.6133 2.2453 2.6133
0.0000 0.0000 0.0000
```

crystal system: tetragonal
SG: P4/mmm, No. 123
formation energy from raw total energies: 0.57 eV per atom

Below is an optimized crystal structure of Rb2Ag2Pt, with properties calculated at the PBE level.

POSCAR file:
```
Rb2Ag2Pt
1.0
7.1838 0.0000 0.0000
0.0000 7.1838 0.0000
0.0000 0.0000 5.5347
Rb Pt Ag
4 2 4
Cartesian
4.9031 5.8727 2.7673
5.8727 2.2807 2.7673
2.2807 1.3112 2.7673
1.3112 4.9031 2.7673
0.0000 0.0000 0.0000
3.5919 3.5919 0.0000
1.0097 2.5823 0.0000
4.6016 1.0097 0.0000
2.5823 6.1742 0.0000
6.1742 4.6016 0.0000
```

crystal system: tetragonal
DFT total energy: -2.614 eV/atom
SG: P4/mbm, No. 127